No. 1
Below is a geometry-optimized CaAg2Ru structure, with properties calculated at the PBE-GGA level.

Values from the calculation:
Its space-group type is R3m (160).

Structure (CIF):
```
data_CaAg2Ru
_chemical_formula_sum 'Ca1 Ag2 Ru1'
_symmetry_space_group_name_H-M 'P 1'
_symmetry_Int_Tables_number 1
_cell_length_a 9.663
_cell_length_b 9.663
_cell_length_c 9.663
_cell_angle_alpha 18.13
_cell_angle_beta 18.13
_cell_angle_gamma 18.13
loop_
_symmetry_equiv_pos_as_xyz
'x,y,z'
loop_
_atom_site_label
_atom_site_type_symbol
_atom_site_fract_x
_atom_site_fract_y
_atom_site_fract_z
_atom_site_occupancy
Ru1 Ru 0.748 0.748 0.748 1
Ag1 Ag 0.002 0.002 0.002 1
Ag2 Ag 0.254 0.254 0.254 1
Ca1 Ca 0.496 0.496 0.496 1
```

No. 2
Below is a geometry-optimized CaAgRu2 structure, with properties calculated at the PBE-GGA level.

Values from the calculation:
Its space-group type is Pmmm (47).

Structure (CIF):
```
data_CaAgRu2
_chemical_formula_sum 'Ca1 Ag1 Ru2'
_symmetry_space_group_name_H-M 'P 1'
_symmetry_Int_Tables_number 1
_cell_length_a 3.056
_cell_length_b 4.672
_cell_length_c 4.850
_cell_angle_alpha 90.00
_cell_angle_beta 90.00
_cell_angle_gamma 90.00
loop_
_symmetry_equiv_pos_as_xyz
'x,y,z'
loop_
_atom_site_label
_atom_site_type_symbol
_atom_site_fract_x
_atom_site_fract_y
_atom_site_fract_z
_atom_site_occupancy
Ca1 Ca 0.000 0.500 0.500 1
Ag1 Ag 0.500 0.000 0.500 1
Ru1 Ru 0.000 0.000 0.000 1
Ru2 Ru 0.500 0.500 0.000 1
```

No. 3
Below is a geometry-optimized CaAgRu2 structure, with properties calculated at the PBE-GGA level.

Values from the calculation:
Its space-group type is P4/mmm (123).

Structure (CIF):
```
data_CaAgRu2
_chemical_formula_sum 'Ca1 Ag1 Ru2'
_symmetry_space_group_name_H-M 'P 1'
_symmetry_Int_Tables_number 1
_cell_length_a 3.473
_cell_length_b 3.473
_cell_length_c 6.332
_cell_angle_alpha 90.00
_cell_angle_beta 90.00
_cell_angle_gamma 90.00
loop_
_symmetry_equiv_pos_as_xyz
'x,y,z'
loop_
_atom_site_label
_atom_site_type_symbol
_atom_site_fract_x
_atom_site_fract_y
_atom_site_fract_z
_atom_site_occupancy
Ru1 Ru 0.000 0.000 0.448 1
Ru2 Ru 0.000 0.000 0.052 1
Ag1 Ag 0.500 0.500 0.250 1
Ca1 Ca 0.500 0.500 0.750 1
```

No. 4
Below is a geometry-optimized CaAg2Ru structure, with properties calculated at the PBE-GGA level.

Values from the calculation:
Its space-group type is Pm (6).

Structure (CIF):
```
data_CaAg2Ru
_chemical_formula_sum 'Ca1 Ag2 Ru1'
_symmetry_space_group_name_H-M 'P 1'
_symmetry_Int_Tables_number 1
_cell_length_a 4.749
_cell_length_b 2.823
_cell_length_c 5.718
_cell_angle_alpha 78.96
_cell_angle_beta 90.00
_cell_angle_gamma 90.00
loop_
_symmetry_equiv_pos_as_xyz
'x,y,z'
loop_
_atom_site_label
_atom_site_type_symbol
_atom_site_fract_x
_atom_site_fract_y
_atom_site_fract_z
_atom_site_occupancy
Ru1 Ru 0.500 0.789 0.773 1
Ca1 Ca 0.000 0.498 0.501 1
Ag1 Ag 0.000 0.073 0.988 1
Ag2 Ag 0.500 0.140 0.238 1
```

No. 5
Below is a geometry-optimized Ca2AgRu2 structure, with properties calculated at the PBE-GGA level.

Values from the calculation:
Its space-group type is I4/mmm (139).

Structure (CIF):
```
data_Ca2AgRu2
_chemical_formula_sum 'Ca2 Ag1 Ru2'
_symmetry_space_group_name_H-M 'P 1'
_symmetry_Int_Tables_number 1
_cell_length_a 3.562
_cell_length_b 3.562
_cell_length_c 9.318
_cell_angle_alpha 78.98
_cell_angle_beta 78.98
_cell_angle_gamma 90.00
loop_
_symmetry_equiv_pos_as_xyz
'x,y,z'
loop_
_atom_site_label
_atom_site_type_symbol
_atom_site_fract_x
_atom_site_fract_y
_atom_site_fract_z
_atom_site_occupancy
Ru1 Ru 0.750 0.250 0.500 1
Ru2 Ru 0.250 0.750 0.500 1
Ca1 Ca 0.611 0.611 0.777 1
Ca2 Ca 0.389 0.389 0.223 1
Ag1 Ag 0.000 0.000 0.000 1
```

No. 6
Below is a geometry-optimized Ca2AgRu2 structure, with properties calculated at the PBE-GGA level.

Values from the calculation:
Its space-group type is P4/mbm (127).

Structure (CIF):
```
data_Ca2AgRu2
_chemical_formula_sum 'Ca4 Ag2 Ru4'
_symmetry_space_group_name_H-M 'P 1'
_symmetry_Int_Tables_number 1
_cell_length_a 6.910
_cell_length_b 6.910
_cell_length_c 4.501
_cell_angle_alpha 90.00
_cell_angle_beta 90.00
_cell_angle_gamma 90.00
loop_
_symmetry_equiv_pos_as_xyz
'x,y,z'
loop_
_atom_site_label
_atom_site_type_symbol
_atom_site_fract_x
_atom_site_fract_y
_atom_site_fract_z
_atom_site_occupancy
Ru1 Ru 0.119 0.381 0.000 1
Ru2 Ru 0.381 0.881 0.000 1
Ru3 Ru 0.881 0.619 0.000 1
Ru4 Ru 0.619 0.119 0.000 1
Ag1 Ag 0.500 0.500 0.000 1
Ag2 Ag 0.000 0.000 0.000 1
Ca1 Ca 0.178 0.678 0.500 1
Ca2 Ca 0.322 0.178 0.500 1
Ca3 Ca 0.822 0.322 0.500 1
Ca4 Ca 0.678 0.822 0.500 1
```

No. 7
Below is a geometry-optimized CaAgRu2 structure, with properties calculated at the PBE-GGA level.

Values from the calculation:
Its space-group type is I4/mmm (139).

Structure (CIF):
```
data_CaAgRu2
_chemical_formula_sum 'Ca1 Ag1 Ru2'
_symmetry_space_group_name_H-M 'P 1'
_symmetry_Int_Tables_number 1
_cell_length_a 5.383
_cell_length_b 5.383
_cell_length_c 5.383
_cell_angle_alpha 137.01
_cell_angle_beta 137.01
_cell_angle_gamma 62.42
loop_
_symmetry_equiv_pos_as_xyz
'x,y,z'
loop_
_atom_site_label
_atom_site_type_symbol
_atom_site_fract_x
_atom_site_fract_y
_atom_site_fract_z
_atom_site_occupancy
Ca1 Ca 0.750 0.250 0.500 1
Ag1 Ag 0.250 0.750 0.500 1
Ru1 Ru 0.000 0.000 0.000 1
Ru2 Ru 0.500 0.500 0.000 1
```

No. 8
Below is a geometry-optimized CaAg2Ru structure, with properties calculated at the PBE-GGA level.

Values from the calculation:
Its space-group type is Immm (71).

Structure (CIF):
```
data_CaAg2Ru
_chemical_formula_sum 'Ca1 Ag2 Ru1'
_symmetry_space_group_name_H-M 'P 1'
_symmetry_Int_Tables_number 1
_cell_length_a 5.937
_cell_length_b 5.937
_cell_length_c 5.937
_cell_angle_alpha 149.88
_cell_angle_beta 132.17
_cell_angle_gamma 57.57
loop_
_symmetry_equiv_pos_as_xyz
'x,y,z'
loop_
_atom_site_label
_atom_site_type_symbol
_atom_site_fract_x
_atom_site_fract_y
_atom_site_fract_z
_atom_site_occupancy
Ag1 Ag 0.475 0.475 0.000 1
Ag2 Ag 0.025 0.025 0.000 1
Ru1 Ru 0.250 0.750 0.500 1
Ca1 Ca 0.750 0.250 0.500 1
```

No. 9
Below is a geometry-optimized CaAg2Ru structure, with properties calculated at the PBE-GGA level.

Values from the calculation:
Its space-group type is P4/mmm (123).

Structure (CIF):
```
data_CaAg2Ru
_chemical_formula_sum 'Ca1 Ag2 Ru1'
_symmetry_space_group_name_H-M 'P 1'
_symmetry_Int_Tables_number 1
_cell_length_a 4.253
_cell_length_b 4.253
_cell_length_c 4.171
_cell_angle_alpha 90.00
_cell_angle_beta 90.00
_cell_angle_gamma 90.00
loop_
_symmetry_equiv_pos_as_xyz
'x,y,z'
loop_
_atom_site_label
_atom_site_type_symbol
_atom_site_fract_x
_atom_site_fract_y
_atom_site_fract_z
_atom_site_occupancy
Ag1 Ag 0.500 0.500 0.000 1
Ag2 Ag 0.000 0.000 0.000 1
Ru1 Ru 0.000 0.500 0.500 1
Ca1 Ca 0.500 0.000 0.500 1
```

No. 10
Below is a geometry-optimized CaAgRu2 structure, with properties calculated at the PBE-GGA level.

Values from the calculation:
Its space-group type is I-42d (122).

Structure (CIF):
```
data_CaAgRu2
_chemical_formula_sum 'Ca2 Ag2 Ru4'
_symmetry_space_group_name_H-M 'P 1'
_symmetry_Int_Tables_number 1
_cell_length_a 7.819
_cell_length_b 7.819
_cell_length_c 6.102
_cell_angle_alpha 50.15
_cell_angle_beta 50.15
_cell_angle_gamma 90.00
loop_
_symmetry_equiv_pos_as_xyz
'x,y,z'
loop_
_atom_site_label
_atom_site_type_symbol
_atom_site_fract_x
_atom_site_fract_y
_atom_site_fract_z
_atom_site_occupancy
Ca1 Ca 0.500 0.500 0.000 1
Ca2 Ca 0.250 0.750 0.500 1
Ru1 Ru 0.095 0.625 0.250 1
Ru2 Ru 0.655 0.125 0.250 1
Ru3 Ru 0.875 0.905 0.750 1
Ru4 Ru 0.375 0.345 0.750 1
Ag1 Ag 0.000 0.000 0.000 1
Ag2 Ag 0.750 0.250 0.500 1
```

No. 11
Below is a geometry-optimized CaAgRu2 structure, with properties calculated at the PBE-GGA level.

Values from the calculation:
Its space-group type is F-43m (216).

Structure (CIF):
```
data_CaAgRu2
_chemical_formula_sum 'Ca1 Ag1 Ru2'
_symmetry_space_group_name_H-M 'P 1'
_symmetry_Int_Tables_number 1
_cell_length_a 4.618
_cell_length_b 4.618
_cell_length_c 4.618
_cell_angle_alpha 60.00
_cell_angle_beta 60.00
_cell_angle_gamma 60.00
loop_
_symmetry_equiv_pos_as_xyz
'x,y,z'
loop_
_atom_site_label
_atom_site_type_symbol
_atom_site_fract_x
_atom_site_fract_y
_atom_site_fract_z
_atom_site_occupancy
Ca1 Ca 0.250 0.250 0.250 1
Ag1 Ag 0.500 0.500 0.500 1
Ru1 Ru 0.000 0.000 0.000 1
Ru2 Ru 0.750 0.750 0.750 1
```

No. 12
Below is a geometry-optimized CaAgRu structure, with properties calculated at the PBE-GGA level.

Values from the calculation:
Its space-group type is P3m1 (156).

Structure (CIF):
```
data_CaAgRu
_chemical_formula_sum 'Ca1 Ag1 Ru1'
_symmetry_space_group_name_H-M 'P 1'
_symmetry_Int_Tables_number 1
_cell_length_a 4.863
_cell_length_b 4.863
_cell_length_c 2.802
_cell_angle_alpha 90.00
_cell_angle_beta 90.00
_cell_angle_gamma 120.00
loop_
_symmetry_equiv_pos_as_xyz
'x,y,z'
loop_
_atom_site_label
_atom_site_type_symbol
_atom_site_fract_x
_atom_site_fract_y
_atom_site_fract_z
_atom_site_occupancy
Ca1 Ca 0.667 0.333 0.342 1
Ag1 Ag 0.000 0.000 0.962 1
Ru1 Ru 0.333 0.667 0.697 1
```

Number 1: DOS(E_F) 3.8 states/eV per cell, total moment 0.22 μB per atom, energy -3.794 eV/atom. Number 2: DOS(E_F) 4.2 states/eV per cell, total moment 0.16 μB per atom, energy -5.390 eV/atom. Number 3: DOS(E_F) 5.5 states/eV per cell, total moment 0.63 μB per atom, energy -5.172 eV/atom. Number 4: DOS(E_F) 3.2 states/eV per cell, total moment 0.00 μB per atom, energy -3.930 eV/atom. Number 5: DOS(E_F) 7.4 states/eV per cell, total moment 0.00 μB per atom, energy -4.913 eV/atom. Number 6: DOS(E_F) 4.3 states/eV per cell, total moment 0.20 μB per atom, energy -4.887 eV/atom. Number 7: DOS(E_F) 5.8 states/eV per cell, total moment 0.51 μB per atom, energy -5.308 eV/atom. Number 8: DOS(E_F) 3.4 states/eV per cell, total moment 0.00 μB per atom, energy -3.972 eV/atom. Number 9: DOS(E_F) 2.4 states/eV per cell, total moment 0.16 μB per atom, energy -4.013 eV/atom. Number 10: DOS(E_F) 11.0 states/eV per cell, total moment 0.39 μB per atom, energy -4.988 eV/atom. Number 11: DOS(E_F) 4.8 states/eV per cell, total moment 0.00 μB per atom, energy -5.403 eV/atom. Number 12: DOS(E_F) 3.0 states/eV per cell, total moment 0.00 μB per atom, energy -4.320 eV/atom.